1.
The following is a DFT calculation (PBE) of ZnNiOs3 after structural relaxation.

```
5
Lattice="-0.720 3.890 -2.001 -3.201 0.914 2.928 2.981 1.921 2.660" Properties=species:S:1:pos:R:3 pbc="T T T"
Ni 0.000 0.000 0.000
Zn -0.470 3.362 1.793
Os -1.601 0.457 1.464
Os 1.491 0.960 1.330
Os -0.360 1.945 -1.001
```

Properties
- ΔE to the lowest computed polymorph (meV per atom) = 0.0
- Fermi-level density of states (states/eV per cell) = 8.110
- ΔH_f (0 K) (meV/atom) = 1940
- crystal system = cubic

***

2.
The following is a DFT calculation (PBE) of ZnNi2Os after structural relaxation.

```
4
Lattice="-0.880 2.781 -2.940 -3.921 1.170 -0.636 -1.221 3.814 1.056" Properties=species:S:1:pos:R:3 pbc="T T T"
Ni 0.000 0.000 0.000
Ni -1.506 1.941 -0.630
Os -3.011 3.882 -1.260
Zn -4.517 5.823 -1.890
```

Properties
- Fermi-level density of states (states/eV per cell) = 4.040
- ΔH_f (0 K) (meV/atom) = 231
- crystal system = cubic

***

3.
The following is a DFT calculation (PBE) of ZnNi2Os after structural relaxation.

```
4
Lattice="5.049 0.003 0.002 2.472 4.403 -0.002 -3.163 -3.223 2.259" Properties=species:S:1:pos:R:3 pbc="T T T"
Ni 7.477 4.380 0.000
Ni 2.866 -0.484 1.130
Os 3.835 2.246 0.000
Zn 1.462 1.648 1.128
```

Properties
- Fermi-level density of states (states/eV per cell) = 5.456
- ΔH_f (0 K) (meV/atom) = 115
- crystal system = orthorhombic

***

4.
The following is a DFT calculation (PBE) of ZnNi2Os after structural relaxation.

```
4
Lattice="-3.299 -0.279 -3.042 -3.954 -1.844 -1.086 -2.774 3.198 1.632" Properties=species:S:1:pos:R:3 pbc="T T T"
Ni -0.050 0.032 0.008
Ni -7.479 0.759 -1.896
Os -5.055 0.635 -1.184
Zn -2.457 0.187 -0.673
```

Properties
- Fermi-level density of states (states/eV per cell) = 3.917
- ΔH_f (0 K) (meV/atom) = 33
- crystal system = monoclinic

***

5.
The following is a DFT calculation (PBE) of ZnNiOs3 after structural relaxation.

```
5
Lattice="-3.884 -2.084 -0.562 1.961 -3.890 0.873 -0.901 0.515 4.320" Properties=species:S:1:pos:R:3 pbc="T T T"
Ni -1.412 -2.730 2.315
Zn 0.000 0.000 0.000
Os 0.981 -1.945 0.436
Os -0.451 0.257 2.160
Os -1.942 -1.042 -0.281
```

Properties
- ΔE to the lowest computed polymorph (meV per atom) = 425.5
- Fermi-level density of states (states/eV per cell) = 8.080
- ΔH_f (0 K) (meV/atom) = 2366
- crystal system = cubic

***

6.
The following is a DFT calculation (PBE) of ZnNi2Os after structural relaxation.

```
4
Lattice="-2.103 1.424 1.051 0.542 -1.995 3.788 2.689 3.064 1.229" Properties=species:S:1:pos:R:3 pbc="T T T"
Ni 0.000 0.000 0.000
Ni -0.780 -0.286 2.420
Os 0.293 2.244 1.140
Zn 1.616 0.534 2.509
```

Properties
- Fermi-level density of states (states/eV per cell) = 5.137
- ΔH_f (0 K) (meV/atom) = 217
- crystal system = orthorhombic

***

7.
The following is a DFT calculation (PBE) of ZnNi2Os after structural relaxation.

```
4
Lattice="4.451 0.000 0.000 1.336 4.246 0.000 -2.893 -2.123 2.633" Properties=species:S:1:pos:R:3 pbc="T T T"
Ni 0.000 0.000 0.000
Ni 2.893 2.123 0.000
Os 0.668 2.123 1.317
Zn 2.226 0.000 1.317
```

Properties
- Fermi-level density of states (states/eV per cell) = 6.550
- ΔH_f (0 K) (meV/atom) = 154
- crystal system = tetragonal

***

8.
The following is a DFT calculation (PBE) of ZnNi2Os after structural relaxation.

```
4
Lattice="-2.138 -1.312 0.803 0.056 -1.440 -2.204 4.197 -4.840 3.267" Properties=species:S:1:pos:R:3 pbc="T T T"
Ni 0.004 -0.004 0.003
Ni 2.095 -2.416 1.631
Zn 2.107 -5.006 1.750
Os 0.008 -2.586 0.116
```

Properties
- Fermi-level density of states (states/eV per cell) = 4.155
- ΔH_f (0 K) (meV/atom) = -15
- crystal system = tetragonal

***

9.
The following is a DFT calculation (PBE) of ZnNi2Os after structural relaxation.

```
4
Lattice="-0.263 -7.407 -4.035 -0.318 -8.291 -1.539 -2.565 -7.560 -2.734" Properties=species:S:1:pos:R:3 pbc="T T T"
Ni -0.001 -0.011 -0.004
Ni -1.572 -11.617 -4.150
Os -0.787 -5.814 -2.077
Zn -2.360 -17.443 -6.231
```

Properties
- Fermi-level density of states (states/eV per cell) = 2.989
- ΔH_f (0 K) (meV/atom) = 4
- crystal system = trigonal

***

10.
The following is a DFT calculation (PBE) of ZnNi2Os after structural relaxation.

```
8
Lattice="-2.614 -2.285 -0.890 2.154 -1.515 -2.432 2.546 -7.358 4.199" Properties=species:S:1:pos:R:3 pbc="T T T"
Ni -0.738 -3.466 0.186
Ni 1.666 -3.064 -0.578
Ni 1.729 -6.938 1.913
Ni 1.516 -8.850 0.233
Zn -0.230 -1.900 -1.661
Zn 2.235 -5.387 0.053
Os 0.000 0.000 0.000
Os -0.149 -5.772 0.824
```

Properties
- Fermi-level density of states (states/eV per cell) = 10.190
- ΔH_f (0 K) (meV/atom) = 571
- crystal system = tetragonal

***

11.
The following is a DFT calculation (PBE) of Zr5Ni2Os after structural relaxation.

```
16
Lattice="5.952 0.000 -2.810 -1.326 5.803 -2.810 0.321 0.403 8.390" Properties=species:S:1:pos:R:3 pbc="T T T"
Zr 2.432 4.217 2.502
Zr 3.691 5.796 -2.542
Zr 0.000 0.000 0.000
Zr 2.313 2.901 -2.810
Zr 1.256 0.409 5.312
Zr 4.025 1.316 3.468
Zr -0.337 3.311 4.345
Zr 0.922 4.890 -0.698
Zr 5.284 2.895 -1.575
Zr 2.515 1.988 0.268
Ni 0.261 2.165 -1.405
Ni 3.564 0.737 -2.118
Ni 1.062 5.066 -3.501
Ni 4.365 3.638 -4.215
Os 3.630 4.553 -0.020
Os 1.317 1.652 2.790
```

Properties
- Fermi-level density of states (states/eV per cell) = 21.497
- ΔH_f (0 K) (meV/atom) = -353
- crystal system = tetragonal

***

12.
The following is a DFT calculation (PBE) of ZrNiOs after structural relaxation.

```
3
Lattice="4.995 -0.035 0.000 2.864 4.093 0.000 -3.930 -2.029 2.323" Properties=species:S:1:pos:R:3 pbc="T T T"
Ni 7.674 3.962 0.000
Os 2.788 1.439 0.000
Zr 5.256 2.713 0.000
```

Properties
- ΔE to the lowest computed polymorph (meV per atom) = 356.3
- Fermi-level density of states (states/eV per cell) = 3.519
- ΔH_f (0 K) (meV/atom) = -54
- crystal system = tetragonal

***

Among the records above, which one has the lowest Fermi-level density of states? number 9